Dy6Cu2Rh: relaxed, GGA-PBE. Values from VASP.

```
&SYSTEM
  ibrav = 0, nat = 18, ntyp = 3
/
ATOMIC_SPECIES
Dy 162.50 Dy.upf
Cu 63.55 Cu.upf
Rh 102.91 Rh.upf
CELL_PARAMETERS angstrom
-7.8296 -0.8214 2.6121
2.5673 -7.3109 -2.9597
4.8353 2.3778 6.3061
ATOMIC_POSITIONS crystal
Dy 0.5697 0.7445 0.8252
Dy 0.4303 0.2555 0.1748
Dy 0.0808 0.2555 0.8252
Dy 0.9192 0.7445 0.1748
Dy 0.8158 0.7374 0.5532
Dy 0.1842 0.2626 0.4468
Dy 0.1842 0.7374 0.9216
Dy 0.8158 0.2626 0.0784
Dy 0.7021 0.3755 0.6733
Dy 0.2979 0.6245 0.3267
Dy 0.2979 0.9712 0.6733
Dy 0.7021 0.0288 0.3267
Cu 0.5000 0.3786 0.8786
Cu 0.5000 0.6214 0.1214
Cu 0.6496 0.0000 0.6496
Cu 0.3504 0.0000 0.3504
Rh 0.0000 0.5000 0.5000
Rh 0.0000 0.0000 0.0000
```

Output
Energy of formation (eV per atom): -0.304
Density (Mg/m³): 9.11
Space group: Immm, No. 71
DOS(E_F) (states/eV per cell): 14.4